{"formula": "Ta2HgSe6", "functional": "PBE", "state": "relaxed", "e_tot_ev_per_atom": -5.535, "mass_density_g_cm3": 7.61, "volume_a3_per_atom": 25.13, "lattice_angstrom": [[6.676, -1.702, 0.000], [6.676, 1.702, 0.000], [-4.239, 0.000, 9.955]], "species": ["Se", "Se", "Hg", "Se", "Se", "Ta", "Se", "Se", "Ta"], "frac_coords": [[0.041, 0.041, 0.255], [0.344, 0.344, 0.471], [0.000, 0.000, 0.000], [0.254, 0.254, 0.153], [0.656, 0.656, 0.529], [0.293, 0.293, 0.699], [0.959, 0.959, 0.745], [0.746, 0.746, 0.847], [0.707, 0.707, 0.301]]}

=====

{"formula": "TbTlHg3Se4", "functional": "PBE", "state": "relaxed", "e_tot_ev_per_atom": -2.923, "mass_density_g_cm3": 8.05, "volume_a3_per_atom": 29.36, "lattice_angstrom": [[6.842, 0.000, 0.000], [0.000, 7.612, 0.000], [-2.192, 0.000, 10.150]], "species": ["Tb", "Tl", "Se", "Tl", "Se", "Hg", "Se", "Se", "Se", "Hg", "Hg", "Hg", "Se", "Se", "Se", "Hg", "Tb", "Hg"], "frac_coords": [[0.532, 0.250, 0.305], [0.639, 0.250, 0.912], [0.239, 0.026, 0.749], [0.361, 0.750, 0.088], [0.761, 0.974, 0.251], [0.791, 0.934, 0.520], [0.660, 0.250, 0.594], [0.761, 0.526, 0.251], [0.749, 0.750, 0.929], [0.209, 0.066, 0.480], [0.001, 0.750, 0.778], [0.209, 0.434, 0.480], [0.340, 0.750, 0.406], [0.251, 0.250, 0.071], [0.239, 0.474, 0.749], [0.999, 0.250, 0.222], [0.468, 0.750, 0.695], [0.791, 0.566, 0.520]]}